Crystalline PuTaCd at its relaxed geometry. Source: OQMD, functional PBE-GGA.

Results
As for the total moment: 6.4 μB per formula unit. The space-group type is F-43m (216). Its total energy is -23.11 eV per formula unit. The calculation puts the energy of formation from the pure elements at 1.256 eV/atom. The calculation puts the theoretical density at 11.5 g/cm3.

Cell: 4.7941 4.7941 4.7941 Å, 60.00 60.00 60.00°
Atoms (fractional coordinates):
Pu1 0.0000 0.0000 0.0000
Ta1 0.2500 0.2500 0.2500
Cd1 0.7500 0.7500 0.7500